# 1
Material: Ca2Ga2Si
Method: DFT, PBE-GGA
State: relaxed

Cell: 4.074 6.072 10.397 Å, 80.03 78.70 70.40°
Fractional positions:
Si 0.428 0.830 0.313
Ga 0.624 0.867 0.885
Ca 0.708 0.229 0.355
Ga 0.966 0.658 0.410
Ca 0.102 0.693 0.103
Ca 0.292 0.771 0.645
Ca 0.898 0.307 0.897
Si 0.572 0.170 0.687
Ga 0.376 0.133 0.115
Ga 0.034 0.342 0.590

Output
Space group   C2/m, No. 12
ΔE_f (raw)   -0.472 eV per atom

---

# 2
Material: ScVHg2
Method: DFT, PBE-GGA
State: relaxed

Cell: 4.841 4.841 4.841 Å, 60.00 60.00 60.00°
Site moments in Bohr magnetons follow the coordinates.
Fractional positions:
Hg 0.250 0.250 0.250  0.01
Sc 0.000 0.000 0.000  0.10
V 0.500 0.500 0.500  2.47
Hg 0.750 0.750 0.750  0.01

Output
Electronic total energy   -16.09 eV/cell
Space group   Fm-3m, No. 225

---

# 3
Material: Co2OsRh2
Method: DFT, PBE-GGA
State: relaxed

Cell: 7.104 7.104 2.659 Å, 90.00 90.00 90.00°
Site moments in Bohr magnetons follow the coordinates.
Fractional positions:
Rh 0.130 0.370 0.000  0.45
Co 0.670 0.830 0.500  1.62
Co 0.330 0.170 0.500  1.62
Os 0.500 0.500 0.000  0.09
Co 0.830 0.330 0.500  1.65
Os 0.000 0.000 0.000  0.09
Co 0.170 0.670 0.500  1.65
Rh 0.630 0.130 0.000  0.46
Rh 0.870 0.630 0.000  0.45
Rh 0.370 0.870 0.000  0.46

Output
Electronic total energy   -76.22 eV/cell
Space group   P4/mbm, No. 127

---

# 4
Material: B2C
Method: DFT, PBE-GGA
State: relaxed

Cell: 5.805 5.772 4.231 Å, 103.47 78.99 136.19°
Fractional positions:
B 0.463 0.032 0.456
B 0.880 0.317 0.576
B 0.995 0.013 0.912
B 0.605 0.573 0.914
C 0.873 0.052 0.659
C 0.318 0.262 0.095
C 0.536 0.697 0.687
B 0.275 0.706 0.642
B 0.746 0.307 0.198
B 0.212 0.352 0.444
C 0.346 0.036 0.167
B 0.000 0.654 0.000

Output
Electronic total energy   -83.34 eV/cell
Space group   P1, No. 1

---

# 5
Material: NdZn2GeIr2
Method: DFT, PBE-GGA
State: relaxed

Cell: 4.618 4.618 5.693 Å, 90.00 90.00 90.00°
Site moments in Bohr magnetons follow the coordinates.
Fractional positions:
Zn 0.500 0.500 0.266  0.00
Ge 0.000 0.000 0.000  0.01
Nd 0.000 0.000 0.500  0.02
Ir 0.500 0.000 0.000  0.34
Ir 0.000 0.500 0.000  0.34
Zn 0.500 0.500 0.734  0.00

Output
Electronic total energy   -30.17 eV/cell
Space group   P4/mmm, No. 123

---

# 6
Material: NaPdS
Method: DFT, PBE-GGA
State: relaxed

Cell: 4.034 4.034 5.087 Å, 68.67 68.67 60.09°
Fractional positions:
Na 0.422 0.422 0.833
S 0.633 0.633 0.235
Pd 0.951 0.951 0.284

Output
Space group   Cm, No. 8
ΔE_f (raw)   -0.563 eV per atom